(1)
# K2IrOs, relaxed, DFT GGA-PBEsol
data_K2IrOs
_cell_length_a 2.808
_cell_length_b 4.250
_cell_length_c 19.761
_cell_angle_alpha 90.00
_cell_angle_beta 90.00
_cell_angle_gamma 90.00
_symmetry_space_group_name_H-M 'I m m m'
_symmetry_Int_Tables_number 71
_symmetry_space_group_name_Hall '-I 2 2'
loop_
_atom_site_label
_atom_site_fract_x
_atom_site_fract_y
_atom_site_fract_z
K1 0.000 0.000 0.141
Ir1 0.000 0.500 0.500
Os1 0.000 0.500 0.000
# Excess energy over the best structure of this formula in the dataset (meV per atom): 0
# Calculated volume (Å³ per atom): 29.476

***

(2)
# K2IrOs, relaxed, DFT GGA-PBEsol
data_K2IrOs
_cell_length_a 5.416
_cell_length_b 11.242
_cell_length_c 2.742
_cell_angle_alpha 90.00
_cell_angle_beta 117.97
_cell_angle_gamma 90.00
_symmetry_space_group_name_H-M 'C 1 2/m 1'
_symmetry_Int_Tables_number 12
loop_
_symmetry_equiv_pos_as_xyz
'x,y,z'
'-x,-y,-z'
'-x,y,-z'
'x,-y,z'
'x+1/2,y+1/2,z'
'-x+1/2,-y+1/2,-z'
'-x+1/2,y+1/2,-z'
'x+1/2,-y+1/2,z'
loop_
_atom_site_label
_atom_site_fract_x
_atom_site_fract_y
_atom_site_fract_z
K1 0.250 0.250 0.000
Ir1 0.000 0.000 0.500
Os1 0.000 0.500 0.500
# Excess energy over the best structure of this formula in the dataset (meV per atom): 363
# Calculated volume (Å³ per atom): 18.432

***

(3)
# K2IrOs, relaxed, DFT GGA-PBEsol
data_K2IrOs
_cell_length_a 7.126
_cell_length_b 7.126
_cell_length_c 7.126
_cell_angle_alpha 90.00
_cell_angle_beta 90.00
_cell_angle_gamma 90.00
_symmetry_space_group_name_H-M 'F m -3 m'
_symmetry_Int_Tables_number 225
_symmetry_space_group_name_Hall '-F 4 2 3'
loop_
_atom_site_label
_atom_site_fract_x
_atom_site_fract_y
_atom_site_fract_z
K1 0.250 0.250 0.250
Ir1 0.000 0.000 0.000
Os1 0.000 0.000 0.500
# Excess energy over the best structure of this formula in the dataset (meV per atom): 1645
# Calculated volume (Å³ per atom): 22.618

***

(4)
# K2IrOs, relaxed, DFT GGA-PBEsol
data_K2IrOs
_cell_length_a 2.7540
_cell_length_b 2.7540
_cell_length_c 33.6923
_cell_angle_alpha 90.00
_cell_angle_beta 90.00
_cell_angle_gamma 120.00
_symmetry_space_group_name_H-M 'R -3 m'
_symmetry_Int_Tables_number 166
_symmetry_space_group_name_Hall '-R 3 2"'
loop_
_atom_site_label
_atom_site_fract_x
_atom_site_fract_y
_atom_site_fract_z
K1 0.0000 0.0000 0.2484
Ir1 0.0000 0.0000 0.5000
Os1 0.0000 0.0000 0.0000
# Excess energy over the best structure of this formula in the dataset (meV per atom): 347
# Calculated volume (Å³ per atom): 18.442

***

(5)
# KP2Ir, relaxed, DFT GGA-PBEsol
data_KP2Ir
_cell_length_a 4.007
_cell_length_b 6.267
_cell_length_c 7.263
_cell_angle_alpha 90.00
_cell_angle_beta 90.00
_cell_angle_gamma 90.00
_symmetry_space_group_name_H-M 'I m m m'
_symmetry_Int_Tables_number 71
_symmetry_space_group_name_Hall '-I 2 2'
loop_
_atom_site_label
_atom_site_fract_x
_atom_site_fract_y
_atom_site_fract_z
K1 0.000 0.000 0.000
P1 0.000 0.500 0.155
Ir1 0.000 0.000 0.500
# Excess energy over the best structure of this formula in the dataset (meV per atom): 320
# Calculated volume (Å³ per atom): 22.798

***

(6)
# K2PIr, relaxed, DFT GGA-PBEsol
data_K2PIr
_cell_length_a 4.831
_cell_length_b 8.805
_cell_length_c 4.407
_cell_angle_alpha 90.00
_cell_angle_beta 90.00
_cell_angle_gamma 90.00
_symmetry_space_group_name_H-M 'C m m m'
_symmetry_Int_Tables_number 65
_symmetry_space_group_name_Hall '-C 2 2'
loop_
_atom_site_label
_atom_site_fract_x
_atom_site_fract_y
_atom_site_fract_z
K1 0.250 0.250 0.000
P1 0.000 0.000 0.500
Ir1 0.000 0.500 0.500
# Calculated volume (Å³ per atom): 23.431
# Electronic total energy (Ry/atom): -0.2904